No. 1
## Cu5Ag3I12 (GGA-PBE)

Data for crystalline Cu5Ag3I12 at its relaxed geometry.

abc: 15.2743 15.2743 15.2743
angles: 109.47 109.47 109.47
Sites, in units of the cell vectors:
I1 0.1419 0.6732 0.5067
I2 0.1419 0.4687 0.1352
I3 0.6665 0.1732 0.5313
I4 0.6352 0.6419 0.4687
I5 0.0313 0.8648 0.3581
I6 0.3581 0.3648 0.0313
I7 0.8335 0.8648 0.0067
I8 0.3581 0.9933 0.8268
I9 0.0067 0.6419 0.6732
I10 0.4933 0.6665 0.1352
I11 0.1665 0.1352 0.9933
I12 0.5313 0.8581 0.3648
I13 0.6419 0.6352 0.9687
I14 0.3648 0.0067 0.3335
I15 0.1665 0.0313 0.6732
I16 0.8581 0.3268 0.4933
I17 0.3268 0.4687 0.8335
I18 0.5067 0.1732 0.1419
I19 0.6419 0.0067 0.1732
I20 0.3648 0.3581 0.5313
I21 0.8268 0.4933 0.3581
I22 0.3335 0.8268 0.4687
I23 0.8648 0.0313 0.8581
I24 0.6665 0.4933 0.6352
I25 0.1732 0.5067 0.6419
I26 0.3268 0.8581 0.9933
I27 0.5067 0.3335 0.8648
I28 0.8335 0.9687 0.3268
I29 0.9933 0.3581 0.3268
I30 0.1352 0.9687 0.1419
I31 0.8581 0.5313 0.8648
I32 0.5313 0.6732 0.6665
I33 0.8648 0.8335 0.5067
I34 0.0067 0.3648 0.8335
I35 0.9687 0.8335 0.8268
I36 0.4687 0.1419 0.6352
I37 0.9933 0.6352 0.1665
I38 0.4933 0.8268 0.8581
I39 0.6732 0.5313 0.1665
I40 0.6732 0.1419 0.0067
I41 0.0313 0.1665 0.1732
I42 0.1352 0.1665 0.4933
I43 0.1732 0.6665 0.0313
I44 0.6352 0.9933 0.6665
I45 0.4687 0.3268 0.3335
I46 0.8268 0.3335 0.9687
I47 0.3335 0.5067 0.3648
I48 0.9687 0.1352 0.6419
Cu1 0.8750 0.6250 0.7500
Cu2 0.5000 0.5000 0.0000
Cu3 0.3750 0.1250 0.7500
Cu4 0.0000 0.5000 0.0000
Cu5 0.8750 0.2500 0.6250
Cu6 0.0000 0.5000 0.5000
Cu7 0.6250 0.8750 0.2500
Cu8 0.6250 0.7500 0.8750
Cu9 0.1250 0.7500 0.3750
Cu10 0.2500 0.3750 0.6250
Cu11 0.7500 0.1250 0.8750
Cu12 0.2500 0.8750 0.1250
Cu13 0.5000 0.0000 0.5000
Cu14 0.0000 0.0000 0.5000
Cu15 0.3750 0.2500 0.1250
Cu16 0.5000 0.0000 0.0000
Cu17 0.0000 0.0000 0.0000
Cu18 0.7500 0.6250 0.3750
Cu19 0.5000 0.5000 0.5000
Cu20 0.1250 0.3750 0.2500
Ag1 0.8750 0.7500 0.1250
Ag2 0.7500 0.8750 0.6250
Ag3 0.6250 0.2500 0.3750
Ag4 0.2500 0.6250 0.8750
Ag5 0.2500 0.1250 0.3750
Ag6 0.3750 0.6250 0.2500
Ag7 0.1250 0.2500 0.8750
Ag8 0.7500 0.3750 0.1250
Ag9 0.6250 0.3750 0.7500
Ag10 0.3750 0.7500 0.6250
Ag11 0.8750 0.1250 0.2500
Ag12 0.1250 0.8750 0.7500

Summary:
**Spin magnetization**: 0.00 μB/atom
**Formation energy without anion corrections**: -1.16 eV per formula unit
**Symmetry**: Ia-3d

---

No. 2
## Sr3SbPH (GGA-PBE)

Data for crystalline Sr3SbPH at its relaxed geometry.

abc: 8.5485 8.5485 6.6480
angles: 65.02 65.02 71.34
Sites, in units of the cell vectors:
Sr1 0.0888 0.7121 0.8586
Sr2 0.3627 0.3627 0.4880
Sr3 0.2879 0.9112 0.1414
Sr4 0.7121 0.0888 0.8586
Sr5 0.6373 0.6373 0.5120
Sr6 0.9112 0.2879 0.1414
P1 0.0769 0.0769 0.8036
P2 0.9231 0.9231 0.1964
Sb1 0.6770 0.6770 0.9620
Sb2 0.3230 0.3230 0.0380
H1 0.3231 0.6769 0.5000
H2 0.6769 0.3231 0.5000

Summary:
**Spin magnetization**: 0.00 μB/atom
**Symmetry**: C2/m
**DFT total energy**: -44.816 eV per cell

---

No. 3
## TmMn4 (GGA-PBE)

Data for crystalline TmMn4 at its relaxed geometry.

abc: 4.7988 4.7988 4.7988
angles: 90.00 90.00 90.00
Each line ends with the local moment (μB).
Sites, in units of the cell vectors:
Mn1 0.0000 0.5000 0.5000  3.33
Mn2 0.5000 0.5000 0.0000  3.33
Mn3 0.5000 0.0000 0.5000  3.33
Mn4 0.0000 0.0000 0.0000  4.21
Tm1 0.5000 0.5000 0.5000  -0.44

Summary:
**Spin magnetization**: 2.86 μB/atom
**Formation energy from the elements**: 1.70 eV per atom
**Symmetry**: Pm-3m

---

No. 4
## Dy3Ir2Pb (GGA-PBE)

Data for crystalline Dy3Ir2Pb at its relaxed geometry.

abc: 3.3960 3.3960 12.0028
angles: 90.00 90.00 90.00
Sites, in units of the cell vectors:
Dy1 0.0000 0.0000 0.7112
Dy2 0.0000 0.0000 0.2888
Dy3 0.0000 0.0000 0.0000
Ir1 0.5000 0.5000 0.8504
Ir2 0.5000 0.5000 0.1496
Pb1 0.5000 0.5000 0.5000

Summary:
**Spin magnetization**: 0.00 μB/atom
**Formation energy from the elements**: -0.72 eV per atom
**Symmetry**: P4/mmm

---

No. 5
## CaCdSnCl6 (GGA-PBE)

Data for crystalline CaCdSnCl6 at its relaxed geometry.

abc: 6.9079 6.9079 12.4569
angles: 90.00 90.00 120.00
Sites, in units of the cell vectors:
Sn1 0.0000 0.0000 0.5000
Sn2 0.0000 0.0000 0.0000
Ca1 0.6667 0.3333 0.2500
Ca2 0.3333 0.6667 0.7500
Cl1 0.3420 0.3516 0.3708
Cl2 0.6484 0.6580 0.1292
Cl3 0.6484 0.9904 0.3708
Cl4 0.3516 0.0096 0.6292
Cl5 0.9904 0.6484 0.8708
Cl6 0.9904 0.3420 0.6292
Cl7 0.3420 0.9904 0.1292
Cl8 0.0096 0.6580 0.3708
Cl9 0.3516 0.3420 0.8708
Cl10 0.6580 0.6484 0.6292
Cl11 0.6580 0.0096 0.8708
Cl12 0.0096 0.3516 0.1292
Cd1 0.6667 0.3333 0.7500
Cd2 0.3333 0.6667 0.2500

Summary:
**Spin magnetization**: 0.00 μB/atom
**Formation energy without anion corrections**: -13.29 eV per formula unit
**Symmetry**: P-31c

---

No. 6
## HfRh (GGA-PBE)

Data for crystalline HfRh at its relaxed geometry.

abc: 8.0209 8.0209 5.0184
angles: 90.00 90.00 90.00
Sites, in units of the cell vectors:
Rh1 0.2346 0.4042 0.5000
Rh2 0.5958 0.2346 0.5000
Rh3 0.4042 0.7654 0.5000
Rh4 0.4042 0.2346 0.0000
Rh5 0.7654 0.4042 0.0000
Rh6 0.7654 0.5958 0.5000
Rh7 0.5958 0.7654 0.0000
Rh8 0.2346 0.5958 0.0000
Hf1 0.0994 0.3077 0.0000
Hf2 0.6923 0.9006 0.5000
Hf3 0.9006 0.6923 0.0000
Hf4 0.3077 0.0994 0.5000
Hf5 0.6923 0.0994 0.0000
Hf6 0.0994 0.6923 0.5000
Hf7 0.3077 0.9006 0.0000
Hf8 0.9006 0.3077 0.5000

Summary:
**Spin magnetization**: 0.00 μB/atom
**Formation energy from the elements**: -0.34 eV per atom
**Symmetry**: P4/mcc

---

No. 7
## PmLuSc2 (GGA-PBE)

Data for crystalline PmLuSc2 at its relaxed geometry.

abc: 5.4075 5.4075 5.4075
angles: 60.00 60.00 60.00
Sites, in units of the cell vectors:
Sc1 0.2500 0.2500 0.2500
Sc2 0.7500 0.7500 0.7500
Lu1 0.5000 0.5000 0.5000
Pm1 0.0000 0.0000 0.0000

Summary:
**Spin magnetization**: 0.00 μB/atom
**Formation energy from the elements**: 0.09 eV per atom
**Symmetry**: Fm-3m

---

No. 8
## KSrAs2 (GGA-PBE)

Data for crystalline KSrAs2 at its relaxed geometry.

abc: 5.3884 5.3884 5.3884
angles: 60.00 60.00 60.00
Sites, in units of the cell vectors:
As1 0.0000 0.0000 0.0000
As2 0.2500 0.2500 0.2500
Sr1 0.7500 0.7500 0.7500
K1 0.5000 0.5000 0.5000

Summary:
**Spin magnetization**: 0.00 μB/atom
**Formation energy from the elements**: -0.14 eV per atom
**Symmetry**: F-43m

---

No. 9
## NaCuClF2 (GGA-PBE)

Data for crystalline NaCuClF2 at its relaxed geometry.

abc: 3.9853 3.9853 4.8520
angles: 90.00 90.00 90.00
Sites, in units of the cell vectors:
F1 0.5000 0.0000 0.0000
F2 0.0000 0.5000 0.0000
Na1 0.5000 0.5000 0.5000
Cu1 0.0000 0.0000 0.0000
Cl1 0.0000 0.0000 0.5000

Summary:
**Spin magnetization**: 0.00 μB/atom
**Formation energy without anion corrections**: -8.14 eV per formula unit
**Symmetry**: P4/mmm

---

No. 10
## CaPd2C (GGA-PBE)

Data for crystalline CaPd2C at its relaxed geometry.

abc: 5.4786 6.3383 7.8483
angles: 90.00 90.00 90.00
Sites, in units of the cell vectors:
Pd1 0.2500 0.8216 0.1009
Pd2 0.5000 0.0000 0.7722
Pd3 0.7500 0.3216 0.6009
Pd4 0.2500 0.6784 0.6009
Pd5 0.7500 0.1784 0.1009
Pd6 0.0000 0.5000 0.2722
Pd7 0.5000 0.5000 0.2722
Pd8 0.0000 0.0000 0.7722
Ca1 0.2500 0.1494 0.4336
Ca2 0.2500 0.3506 0.9336
Ca3 0.7500 0.8506 0.4336
Ca4 0.7500 0.6494 0.9336
C1 0.2500 0.7650 0.8487
C2 0.7500 0.2350 0.8487
C3 0.7500 0.2650 0.3487
C4 0.2500 0.7350 0.3487

Summary:
**Spin magnetization**: 0.00 μB/atom
**Formation energy from the elements**: -0.12 eV per atom
**Symmetry**: Ima2

---

No. 11
## AgSn4Rh (GGA-PBE)

Data for crystalline AgSn4Rh at its relaxed geometry.

abc: 5.2003 7.2934 7.3474
angles: 90.00 89.93 90.00
Sites, in units of the cell vectors:
Sn1 0.0012 0.3752 0.8379
Sn2 0.0017 0.8587 0.6378
Sn3 0.5012 0.1248 0.8379
Sn4 0.4988 0.8752 0.1621
Sn5 0.5017 0.6413 0.6378
Sn6 0.9983 0.1413 0.3622
Sn7 0.4983 0.3587 0.3622
Sn8 0.9988 0.6248 0.1621
Ag1 0.5000 0.5000 0.0000
Ag2 0.0000 0.0000 0.0000
Rh1 0.5000 0.0000 0.5000
Rh2 0.0000 0.5000 0.5000

Summary:
**Spin magnetization**: 0.00 μB/atom
**Formation energy from the elements**: -0.11 eV per atom
**Symmetry**: P2_1/c

---

No. 12
## Co2SnIr (GGA-PBE)

Data for crystalline Co2SnIr at its relaxed geometry.

abc: 3.7963 3.8576 3.8576
angles: 90.00 90.00 90.00
Each line ends with the local moment (μB).
Sites, in units of the cell vectors:
Ir1 0.5000 0.0000 0.0000  0.26
Co1 0.0000 0.5000 0.0000  1.31
Co2 0.0000 0.0000 0.5000  1.31
Sn1 0.5000 0.5000 0.5000  -0.05

Summary:
**Spin magnetization**: 0.70 μB/atom
**Formation energy from the elements**: 0.08 eV per atom
**Symmetry**: P4/mmm

---

> spin magnetization of number 9 (NaCuClF2)?

0.00 μB/atom

---

> Which formula does entry 11 have?

AgSn4Rh

---

> What is the spin magnetization in the tenth record?

0.00 μB/atom